Entry 1:
First-principles (PBE-GGA) data for a relaxed structure of NaAcZnO3, as listed in the Alexandria database. Values from VASP.

Computed properties:
Crystal system: orthorhombic
E_form (uncorrected) (kJ/mol of formula units): -1207.1
DOS at the Fermi energy (states/eV/cell): 0.00
Total magnetization (μB per atom): 0.000
SG: Cmcm (63)

Cell and atoms, written as Quantum ESPRESSO input:
```
&SYSTEM
  ibrav = 0, nat = 12, ntyp = 4
/
ATOMIC_SPECIES
Na 22.99 Na.upf
Ac 227.00 Ac.upf
Zn 65.41 Zn.upf
O 16.00 O.upf
CELL_PARAMETERS angstrom
1.772 -5.810 0.000
1.772 5.810 0.000
0.000 0.000 8.376
ATOMIC_POSITIONS crystal
Na 0.000 0.000 0.000
Na 0.000 0.000 0.500
Ac 0.261 0.739 0.750
Ac 0.739 0.261 0.250
Zn 0.468 0.532 0.250
Zn 0.532 0.468 0.750
O 0.067 0.933 0.250
O 0.351 0.649 0.080
O 0.351 0.649 0.420
O 0.649 0.351 0.580
O 0.649 0.351 0.920
O 0.933 0.067 0.750
```



Entry 2:
First-principles (PBE-GGA) data for a relaxed structure of Ca2TiSi4Ir3, as listed in the Alexandria database. Values from VASP.

Computed properties:
Crystal system: tetragonal
E_form (uncorrected) (kJ/mol of formula units): -746.5
DOS at the Fermi energy (states/eV/cell): 5.75
Total magnetization (μB per atom): 0.000
SG: P-4m2 (115)

Cell and atoms, written as Quantum ESPRESSO input:
```
&SYSTEM
  ibrav = 0, nat = 10, ntyp = 4
/
ATOMIC_SPECIES
Ca 40.08 Ca.upf
Ti 47.87 Ti.upf
Si 28.09 Si.upf
Ir 192.22 Ir.upf
CELL_PARAMETERS angstrom
4.094 0.000 0.000
0.000 4.094 0.000
0.000 0.000 10.467
ATOMIC_POSITIONS crystal
Ca 0.000 0.500 0.246
Ca 0.500 0.000 0.754
Ti 0.000 0.000 0.500
Si 0.000 0.000 0.000
Si 0.000 0.500 0.643
Si 0.500 0.000 0.357
Si 0.500 0.500 0.000
Ir 0.000 0.500 0.878
Ir 0.500 0.000 0.122
Ir 0.500 0.500 0.500
```



Entry 3:
First-principles (PBE-GGA) data for a relaxed structure of ScNb2AlTl, as listed in the Alexandria database. Values from VASP.

Computed properties:
Crystal system: tetragonal
Energy of formation (eV per atom): 0.73
DOS at the Fermi energy (states/eV/cell): 4.94
Total magnetization (μB per atom): 0.000
SG: P4/mmm (123)

Cell and atoms, written as Quantum ESPRESSO input:
```
&SYSTEM
  ibrav = 0, nat = 5, ntyp = 4
/
ATOMIC_SPECIES
Sc 44.96 Sc.upf
Nb 92.91 Nb.upf
Al 26.98 Al.upf
Tl 204.38 Tl.upf
CELL_PARAMETERS angstrom
4.823 0.000 0.000
0.000 4.823 0.000
0.000 0.000 4.917
ATOMIC_POSITIONS crystal
Sc 0.000 0.000 0.000
Nb 0.000 0.500 0.500
Nb 0.500 0.000 0.500
Al 0.000 0.000 0.500
Tl 0.500 0.500 0.000
```